No. 1
SmErCuSi, relaxed, DFT PBE; energy relative to the elements, uncorrected = -157.6 kJ/mol of formula units; total magnetization = 0.000 μB/atom; uncorrected energy = -5.11 eV per atom
1.0
0.0000 3.5115 3.5115
3.5115 0.0000 3.5115
3.5115 3.5115 0.0000
Sm Er Cu Si
1 1 1 1
Direct
0.0000 0.0000 0.0000
0.5000 0.5000 0.5000
0.2500 0.2500 0.2500
0.7500 0.7500 0.7500

No. 2
BaZrGe2Te, relaxed, DFT PBE; energy relative to the elements, uncorrected = 173.3 kJ/mol of formula units; total magnetization = 0.335 μB/atom; uncorrected energy = -4.21 eV per atom
1.0
5.6435 0.0000 0.0000
0.0000 5.6435 0.0000
0.0000 0.0000 5.3791
Ba Zr Ge Te
1 1 2 1
Direct
0.0000 0.0000 0.0000
0.5000 0.5000 0.0000
0.0000 0.5000 0.5000
0.5000 0.0000 0.5000
0.5000 0.5000 0.5000

No. 3
Cd4AgHg, relaxed, DFT PBE; total magnetization = 0.000 μB/atom; uncorrected energy = -0.99 eV per atom
1.0
0.0000 4.0867 4.0867
4.0867 0.0000 4.0867
4.0867 4.0867 0.0000
Cd Ag Hg
4 1 1
Direct
0.1254 0.1254 0.1254
0.1254 0.1254 0.6239
0.1254 0.6239 0.1254
0.6239 0.1254 0.1254
0.5000 0.5000 0.5000
0.7500 0.7500 0.7500

No. 4
NaCd6Au3, relaxed, DFT PBE; total magnetization = 0.000 μB/atom; uncorrected energy = -1.79 eV per atom
1.0
5.2104 -6.2419 0.0000
5.2104 6.2419 0.0000
0.0000 0.0000 7.1162
Na Cd Au
2 12 6
Direct
0.2275 0.7725 0.5000
0.7725 0.2275 0.0000
0.0247 0.9753 0.1376
0.0643 0.4395 0.7070
0.2682 0.7318 0.0492
0.2752 0.3545 0.0503
0.3545 0.2752 0.5503
0.4395 0.0643 0.2070
0.5605 0.9357 0.7070
0.6455 0.7248 0.0503
0.7248 0.6455 0.5503
0.7318 0.2682 0.5492
0.9357 0.5605 0.2070
0.9753 0.0247 0.6376
0.0450 0.2740 0.3454
0.2740 0.0450 0.8454
0.4222 0.5778 0.7587
0.5778 0.4222 0.2587
0.7260 0.9550 0.3454
0.9550 0.7260 0.8454

No. 5
Rb14Pa2O9, relaxed, DFT PBE; energy relative to the elements, uncorrected = -3681.3 kJ/mol of formula units; total magnetization = 0.000 μB/atom; uncorrected energy = -4.61 eV per atom
1.0
10.3584 0.0000 0.0000
4.0586 9.6508 0.0000
2.0819 0.4514 10.7950
Rb Pa O
14 2 9
Direct
0.0193 0.2283 0.0557
0.0870 0.5141 0.2177
0.1086 0.0778 0.5568
0.3018 0.5964 0.5477
0.3102 0.4090 0.8810
0.4175 0.1985 0.4808
0.4502 0.9188 0.8707
0.5498 0.0812 0.1293
0.5825 0.8015 0.5192
0.6898 0.5910 0.1190
0.6982 0.4036 0.4523
0.8914 0.9222 0.4432
0.9130 0.4859 0.7823
0.9807 0.7717 0.9443
0.3485 0.8455 0.2838
0.6515 0.1545 0.7162
0.0000 0.5000 0.0000
0.1814 0.8465 0.4177
0.3898 0.9916 0.3670
0.4770 0.8528 0.1190
0.4942 0.6658 0.3567
0.5058 0.3342 0.6433
0.5230 0.1472 0.8810
0.6102 0.0084 0.6330
0.8186 0.1535 0.5823

No. 6
Sr2InSn5, relaxed, DFT PBE; total magnetization = 0.000 μB/atom; uncorrected energy = -3.59 eV per atom
1.0
-3.1727 5.4141 3.3856
3.1727 -5.4141 3.3856
3.1727 5.4141 -3.3856
Sr In Sn
2 1 5
Direct
0.0000 0.0000 0.0000
0.4970 0.4970 0.0000
0.7498 0.2498 0.5000
0.2483 0.7483 0.5000
0.5000 0.4979 0.5014
0.5000 0.9987 0.0021
0.9965 0.4979 0.9979
0.9965 0.9987 0.4986

No. 7
LaMg2ZnSb, relaxed, DFT PBE; energy relative to the elements, uncorrected = 92.3 kJ/mol of formula units; total magnetization = 0.000 μB/atom; uncorrected energy = -2.51 eV per atom
1.0
5.3276 0.0000 0.0000
0.0000 5.3276 0.0000
0.0000 0.0000 6.1342
La Mg Zn Sb
1 2 1 1
Direct
0.0000 0.0000 0.0000
0.0000 0.5000 0.5000
0.5000 0.0000 0.5000
0.5000 0.5000 0.0000
0.0000 0.0000 0.5000

No. 8
BaNbH, relaxed, DFT PBE; total magnetization = 0.000 μB/atom; uncorrected energy = -4.95 eV per atom
1.0
2.6386 -2.5677 0.0000
2.6386 2.5677 0.0000
-0.2236 0.0000 10.4220
Ba Nb H
2 2 2
Direct
0.1963 0.1963 0.3090
0.8037 0.8037 0.6910
0.3127 0.2268 0.9437
0.7732 0.6873 0.0563
0.6188 0.2013 0.1131
0.7987 0.3812 0.8869

No. 9
Al4Zn, relaxed, DFT PBE; total magnetization = 0.000 μB/atom; uncorrected energy = -3.23 eV per atom
1.0
-3.1760 3.1760 2.0211
3.1760 -3.1760 2.0211
3.1760 3.1760 -2.0211
Al Zn
4 1
Direct
0.1013 0.3007 0.4020
0.3007 0.8987 0.1993
0.6993 0.1013 0.8007
0.8987 0.6993 0.5980
0.5000 0.5000 0.0000

No. 10
Th3Pa4AgN12, relaxed, DFT PBE; energy relative to the elements, uncorrected = -2204.7 kJ/mol of formula units; total magnetization = 0.000 μB/atom; uncorrected energy = -9.29 eV per atom
1.0
-4.3074 4.3074 4.3074
4.3074 -4.3074 4.3074
4.3074 4.3074 -4.3074
Th Pa Ag N
3 4 1 12
Direct
0.0000 0.5000 0.5000
0.5000 0.0000 0.5000
0.5000 0.5000 0.0000
0.0000 0.0000 0.5000
0.0000 0.5000 0.0000
0.5000 0.0000 0.0000
0.5000 0.5000 0.5000
0.0000 0.0000 0.0000
0.1059 0.3147 0.7912
0.2088 0.5234 0.3147
0.2088 0.8941 0.6853
0.3147 0.2088 0.5234
0.3147 0.7912 0.1059
0.4766 0.6853 0.7912
0.5234 0.3147 0.2088
0.6853 0.2088 0.8941
0.6853 0.7912 0.4766
0.7912 0.1059 0.3147
0.7912 0.4766 0.6853
0.8941 0.6853 0.2088

No. 11
PPdRuN, relaxed, DFT PBE; energy relative to the elements, uncorrected = 66.9 kJ/mol of formula units; total magnetization = 0.000 μB/atom; uncorrected energy = -6.88 eV per atom
1.0
4.4536 -1.5799 0.0000
4.4536 1.5799 0.0000
-1.0802 0.0000 4.0537
P Pd Ru N
1 1 1 1
Direct
0.0000 0.0000 0.0000
0.6424 0.6424 0.4117
0.3203 0.3203 0.0053
0.1096 0.1096 0.7321

No. 12
CdB, relaxed, DFT PBE; total magnetization = 0.000 μB/atom; uncorrected energy = -3.14 eV per atom
1.0
-1.9470 2.7648 2.9810
1.9470 -2.7648 2.9810
1.9470 2.7648 -2.9810
Cd B
2 2
Direct
0.2377 0.2377 0.0000
0.7623 0.7623 0.0000
0.3605 0.0000 0.3605
0.6395 0.0000 0.6395

No. 13
Ir2PtSe6, relaxed, DFT PBE; energy relative to the elements, uncorrected = -228.0 kJ/mol of formula units; total magnetization = 0.000 μB/atom; uncorrected energy = -5.23 eV per atom
1.0
11.2216 0.0000 0.0000
-5.6108 9.7182 0.0000
0.0000 0.0000 5.1096
Ir Pt Se
6 3 18
Direct
0.0000 0.3368 0.0000
0.0000 0.6632 0.0000
0.3368 0.0000 0.0000
0.3368 0.3368 0.0000
0.6632 0.0000 0.0000
0.6632 0.6632 0.0000
0.0000 0.0000 0.0000
0.3333 0.6667 0.5127
0.6667 0.3333 0.4873
0.0910 0.5455 0.2747
0.1132 0.2264 0.2508
0.1132 0.8868 0.2508
0.2114 0.4227 0.7281
0.2114 0.7886 0.7281
0.2264 0.1132 0.7492
0.4227 0.2114 0.2719
0.4545 0.5455 0.2747
0.4545 0.9090 0.2747
0.5455 0.0910 0.7253
0.5455 0.4545 0.7253
0.5773 0.7886 0.7281
0.7736 0.8868 0.2508
0.7886 0.2114 0.2719
0.7886 0.5773 0.2719
0.8868 0.1132 0.7492
0.8868 0.7736 0.7492
0.9090 0.4545 0.7253

No. 14
ErScTiN3, relaxed, DFT PBE; energy relative to the elements, uncorrected = -837.2 kJ/mol of formula units; total magnetization = 0.000 μB/atom; uncorrected energy = -8.74 eV per atom
1.0
6.2636 0.0000 0.0000
0.0000 3.1661 0.0000
-0.5776 0.0000 8.8018
Er Sc Ti N
2 2 2 6
Direct
0.1738 0.2500 0.2279
0.8262 0.7500 0.7721
0.3508 0.7500 0.8873
0.6492 0.2500 0.1127
0.1485 0.2500 0.5778
0.8515 0.7500 0.4222
0.1277 0.2500 0.8013
0.1911 0.7500 0.4512
0.3924 0.7500 0.1249
0.6076 0.2500 0.8751
0.8089 0.2500 0.5488
0.8723 0.7500 0.1987

No. 15
YNi2Te, relaxed, DFT PBE; energy relative to the elements, uncorrected = -168.9 kJ/mol of formula units; total magnetization = 0.000 μB/atom; uncorrected energy = -5.73 eV per atom
1.0
2.0715 1.1960 5.1431
-2.0715 1.1960 5.1431
0.0000 -2.3920 5.1431
Y Ni Te
1 2 1
Direct
0.0000 0.0000 0.0000
0.2246 0.2246 0.2246
0.5242 0.5242 0.5242
0.8008 0.8008 0.8008

No. 16
AgPIO2, relaxed, DFT PBE; energy relative to the elements, uncorrected = 376.3 kJ/mol of formula units; total magnetization = 0.377 μB/atom; uncorrected energy = -3.17 eV per atom
1.0
3.9739 0.0000 0.0000
0.0000 3.9739 0.0000
0.0000 0.0000 7.2466
Ag P I O
1 1 1 2
Direct
0.0000 0.0000 0.0000
0.5000 0.5000 0.5000
0.0000 0.0000 0.5000
0.0000 0.5000 0.0000
0.5000 0.0000 0.0000

No. 17
BaTeW4, relaxed, DFT PBE; energy relative to the elements, uncorrected = 632.1 kJ/mol of formula units; total magnetization = 0.000 μB/atom; uncorrected energy = -8.39 eV per atom
1.0
0.0000 3.9835 3.9835
3.9835 0.0000 3.9835
3.9835 3.9835 0.0000
Ba Te W
1 1 4
Direct
0.0000 0.0000 0.0000
0.7500 0.7500 0.7500
0.3744 0.3744 0.3744
0.3744 0.3744 0.8768
0.3744 0.8768 0.3744
0.8768 0.3744 0.3744

No. 18
PmAlAgPt, relaxed, DFT PBE; total magnetization = 0.000 μB/atom; uncorrected energy = -4.94 eV per atom
1.0
0.0000 3.4236 3.4236
3.4236 0.0000 3.4236
3.4236 3.4236 0.0000
Pm Al Ag Pt
1 1 1 1
Direct
0.0000 0.0000 0.0000
0.5000 0.5000 0.5000
0.7500 0.7500 0.7500
0.2500 0.2500 0.2500

No. 19
Pr6Sn2TeSe3, relaxed, DFT PBE; energy relative to the elements, uncorrected = -1647.3 kJ/mol of formula units; total magnetization = 0.000 μB/atom; uncorrected energy = -5.61 eV per atom
1.0
9.6179 -2.2118 0.0000
9.6179 2.2118 0.0000
-1.9619 0.0000 8.6355
Pr Sn Te Se
6 2 1 3
Direct
0.0000 0.0000 0.2346
0.0000 0.0000 0.7654
0.3290 0.3290 0.4165
0.3353 0.3353 0.9114
0.6647 0.6647 0.0886
0.6710 0.6710 0.5835
0.1666 0.1666 0.8334
0.8334 0.8334 0.1666
0.5000 0.5000 0.5000
0.1652 0.1652 0.3352
0.5000 0.5000 0.0000
0.8348 0.8348 0.6648

No. 20
CrInRe2, relaxed, DFT PBE; total magnetization = 0.378 μB/atom; uncorrected energy = -8.68 eV per atom
1.0
2.6715 -4.0920 0.0000
2.6715 4.0920 0.0000
0.0000 0.0000 2.8890
Cr In Re
1 1 2
Direct
0.0000 0.0000 0.0000
0.5000 0.5000 0.0000
0.0000 0.5000 0.5000
0.5000 0.0000 0.5000

No. 21
Mg2Sn2O5, relaxed, DFT PBE; energy relative to the elements, uncorrected = -1423.8 kJ/mol of formula units; total magnetization = 0.000 μB/atom; uncorrected energy = -5.64 eV per atom
1.0
5.5705 0.0000 0.0000
0.0000 10.5241 0.0000
0.0000 0.0000 3.9581
Mg Sn O
4 4 10
Direct
0.1372 0.1071 0.0000
0.3628 0.6071 0.0000
0.6372 0.3929 0.0000
0.8628 0.8929 0.0000
0.1577 0.3882 0.5000
0.3423 0.8882 0.5000
0.6577 0.1118 0.5000
0.8423 0.6118 0.5000
0.0000 0.0000 0.5000
0.2053 0.7031 0.5000
0.2333 0.9029 0.0000
0.2667 0.4029 0.0000
0.2947 0.2031 0.5000
0.5000 0.5000 0.5000
0.7053 0.7969 0.5000
0.7333 0.5971 0.0000
0.7667 0.0971 0.0000
0.7947 0.2969 0.5000

No. 22
Sc2ReSb, relaxed, DFT PBE; energy relative to the elements, uncorrected = 41.0 kJ/mol of formula units; total magnetization = 0.000 μB/atom; uncorrected energy = -7.20 eV per atom
1.0
1.6321 0.9423 9.8743
-1.6321 0.9423 9.8743
0.0000 -1.8845 9.8743
Sc Re Sb
2 1 1
Direct
0.1010 0.1010 0.1010
0.8990 0.8990 0.8990
0.5000 0.5000 0.5000
0.0000 0.0000 0.0000